Arrangement a

This record from Alexandria via LeMat-Bulk describes a geometry-optimized TlGeClF2 structure. The functional is GGA-PBE.

Results
**Crystal system**: tetragonal
**SG**: P4/mmm, No. 123

Unit cell a=4.4617 b=4.4617 c=5.5001 alpha=90.00 beta=90.00 gamma=90.00
Positions (direct):
Tl: 0.0000 0.0000 0.0000
Ge: 0.5000 0.5000 0.5000
Cl: 0.5000 0.5000 0.0000
F: 0.0000 0.5000 0.5000
F: 0.5000 0.0000 0.5000



Arrangement b

This record from Alexandria via LeMat-Bulk describes a geometry-optimized TlGeClF2 structure. The functional is GGA-PBE.

Results
**Crystal system**: monoclinic
**SG**: P2_1/m, No. 11

Unit cell a=7.4770 b=4.3078 c=8.1158 alpha=90.00 beta=94.08 gamma=90.00
Positions (direct):
Tl: 0.2490 0.2500 0.4291
Tl: 0.7510 0.7500 0.5709
Ge: 0.1549 0.2500 0.9049
Ge: 0.8451 0.7500 0.0951
Cl: 0.3669 0.7500 0.6854
Cl: 0.6331 0.2500 0.3146
F: 0.0007 0.2500 0.7178
F: 0.0633 0.7500 0.9503
F: 0.9367 0.2500 0.0497
F: 0.9993 0.7500 0.2822



Here is how they stack up, most stable first: arrangement b, arrangement a.